A plane-wave DFT calculation with PBE-GGA was carried out for Tm7Te2Se2 after structural relaxation.

Unit cell a=8.157 b=11.721 c=7.453 alpha=90.00 beta=106.16 gamma=90.00
Space group C2/m (No. 12)
Inequivalent atoms, fractional coordinates:
1 Tm 0.000 0.000 0.000 [2 per cell]
2 Tm 0.096 0.500 0.835 [4 per cell]
3 Tm 0.188 0.273 0.196 [8 per cell]
4 Te 0.000 0.319 0.500 [4 per cell]
5 Se 0.221 0.000 0.762 [4 per cell]

Output
The value obtained for the raw formation energy is -0.818 eV/atom. Its raw total energy is -53.548 eV per formula unit.

---

A plane-wave DFT calculation with PBE-GGA was carried out for Pm3NbN3 after structural relaxation.

Unit cell a=9.084 b=10.311 c=5.215 alpha=90.00 beta=90.00 gamma=90.00
Space group Cmcm (No. 63)
Inequivalent atoms, fractional coordinates:
1 Pm 0.000 0.110 0.250 [4 per cell]
2 Pm 0.222 0.381 0.250 [8 per cell]
3 Nb 0.000 0.325 0.750 [4 per cell]
4 N 0.000 0.128 0.750 [4 per cell]
5 N 0.222 0.371 0.750 [8 per cell]

Output
The value obtained for the raw formation energy is -1.201 eV/atom. Its raw total energy is -57.703 eV per formula unit.

---

Question: Which value of raw formation energy does entry 1 give?
Answer: -0.818 eV/atom

---

Question: What is the raw formation energy in the second record?
Answer: -1.201 eV/atom

---

Question: Which value of raw formation energy does entry 2 give?
Answer: -1.201 eV/atom